VASP calculation (meta-GGA SCAN) on YCrHg2 at its PBEsol-relaxed geometry.

a = 3.479 Å, b = 3.479 Å, c = 8.904 Å
α = 78.73°, β = 78.73°, γ = 60.00°
Fractional positions:
Cr 0.000 0.000 0.000
Hg 0.257 0.257 0.228
Hg 0.743 0.743 0.772
Y 0.500 0.500 0.500

Properties
Polymorph energy (0 for the lowest one) (eV/atom): 0.2378
Calculated formation energy (eV per atom): -0.083
SG: R-3m, No. 166
E (eV per cell): -182.89

VASP calculation (meta-GGA SCAN) on YCrHg2 at its PBEsol-relaxed geometry.

a = 3.622 Å, b = 3.622 Å, c = 6.500 Å
α = 90.00°, β = 90.00°, γ = 90.00°
Fractional positions:
Cr 0.500 0.500 0.779
Hg 0.000 0.000 0.977
Hg 0.500 0.500 0.239
Y 0.000 0.000 0.505

Properties
Polymorph energy (0 for the lowest one) (eV/atom): 0.1603
Calculated formation energy (eV per atom): -0.160
SG: P4mm, No. 99
E (eV per cell): -183.20

VASP calculation (meta-GGA SCAN) on Y2CrHg at its PBEsol-relaxed geometry.

a = 3.532 Å, b = 4.974 Å, c = 5.947 Å
α = 109.28°, β = 107.28°, γ = 90.00°
Fractional positions:
Cr 0.524 0.496 0.049
Hg 0.226 0.753 0.452
Y 0.984 0.966 0.968
Y 0.766 0.285 0.531

Properties
Polymorph energy (0 for the lowest one) (eV/atom): 0.0000
Calculated formation energy (eV per atom): -0.223
SG: Cm, No. 8
E (eV per cell): -143.13